Computed, not measured: a relaxed HfZn2Ag crystal at the GGA-PBE level of DFT.

V: 68.6 Å³ per cell
formation energy: -0.116 eV/atom
DOS at the Fermi energy: 2.28 states/eV per cell
total energy: -3.9538 eV/atom

```
4
Lattice="3.1183 0.0000 0.0000 0.0000 3.1183 0.0000 0.0000 0.0000 7.0595" Properties=species:S:1:pos:R:3 pbc="T T T"
Hf 0.0000 0.0000 0.0000
Zn 1.5592 1.5592 1.8614
Zn 1.5592 1.5592 5.1981
Ag 0.0000 0.0000 3.5298
```